# 1
4
Lattice="-2.358 -1.466 -2.630 -0.983 -4.534 3.409 -5.189 4.351 -0.571" Properties=species:S:1:pos:R:3 comment="PBE LaTbPmSc, relaxed" spacegroup="Cm, No. 8" dos_at_fermi_per_ev_atom=1.71 de_polymorph_kj_per_mol_atoms=0.0 formation_enthalpy_0k_ev_per_atom=0.09 pbc="T T T"
Sc -4.284 -3.017 -0.387
Tb -5.179 -1.010 2.024
La -2.542 -0.019 -0.758
Pm -6.229 0.745 -0.805

---

# 2
12
Lattice="-2.849 1.534 2.197 -1.071 -7.329 3.729 7.493 3.982 3.455" Properties=species:S:1:pos:R:3 comment="PBE Th6CdP2C3, relaxed" spacegroup="C2/m, No. 12" dos_at_fermi_per_ev_atom=0.66 formation_enthalpy_0k_ev_per_atom=-0.60 pbc="T T T"
Th 0.695 2.000 2.985
Th 3.649 0.201 4.591
Th -0.587 -5.083 2.789
Th 2.878 -3.813 6.395
Th -0.076 -2.014 4.789
Th 4.159 3.271 6.591
C 2.388 2.645 4.731
C -1.960 -2.897 2.963
C 1.185 -4.457 4.649
P 1.604 -0.824 2.655
P 1.969 -0.988 6.725
Cd -1.424 0.767 1.098

---

# 3
11
Lattice="7.017 -0.001 0.068 -3.469 6.100 0.068 -1.262 -2.169 7.461" Properties=species:S:1:pos:R:3 comment="PBE PaTl2Sb2S6, relaxed" spacegroup="C2/m, No. 12" dos_at_fermi_per_ev_atom=0.55 total_energy_ev_per_atom=-4.968 pbc="T T T"
S 1.771 3.044 5.319
S 0.632 5.066 2.398
S 4.091 3.054 2.398
S -1.805 0.877 5.200
S 1.654 -1.135 5.200
S 0.516 0.887 2.279
Tl 5.260 1.022 0.068
Tl -1.712 5.077 0.068
Pa -0.631 -1.084 3.731
Sb 2.906 0.940 3.799
Sb -0.619 2.991 3.799

---

# 4
5
Lattice="5.816 0.000 0.000 0.000 5.816 0.000 0.000 0.000 5.816" Properties=species:S:1:pos:R:3 comment="PBE Ca3HfV, relaxed" spacegroup="Pm-3m, No. 221" dos_at_fermi_per_ev_atom=1.67 de_polymorph_kj_per_mol_atoms=31.3 formation_enthalpy_0k_ev_per_atom=1.47 pbc="T T T"
Hf 0.000 0.000 0.000
Ca 2.908 0.000 0.000
Ca 0.000 2.908 0.000
Ca 0.000 0.000 2.908
V 2.908 2.908 2.908

---

# 5
5
Lattice="4.510 0.000 0.000 0.000 4.510 0.000 2.255 2.255 4.877" Properties=species:S:1:pos:R:3 comment="PBE NaGa2Si2, relaxed" spacegroup="I4/mmm, No. 139" dos_at_fermi_per_ev_atom=0.23 de_polymorph_kj_per_mol_atoms=0.0 pbc="T T T"
Si 4.510 4.510 3.692
Si 2.255 2.255 1.185
Ga 4.510 2.255 2.439
Ga 2.255 4.510 2.439
Na 0.000 0.000 0.000

---

# 6
5
Lattice="5.776 0.000 0.000 0.000 5.776 0.000 0.000 0.000 5.267" Properties=species:S:1:pos:R:3 comment="PBE RbCrI2Br, relaxed" spacegroup="P4/mmm, No. 123" dos_at_fermi_per_ev_atom=0.26 total_energy_ev_per_atom=-3.925 pbc="T T T"
I 2.888 0.000 0.000
I 0.000 2.888 0.000
Br 0.000 0.000 2.633
Cr 0.000 0.000 0.000
Rb 2.888 2.888 2.633

---

Please write out number 5 again, unchanged.
5
Lattice="4.510 0.000 0.000 0.000 4.510 0.000 2.255 2.255 4.877" Properties=species:S:1:pos:R:3 comment="PBE NaGa2Si2, relaxed" spacegroup="I4/mmm, No. 139" dos_at_fermi_per_ev_atom=0.23 de_polymorph_kj_per_mol_atoms=0.0 pbc="T T T"
Si 4.510 4.510 3.692
Si 2.255 2.255 1.185
Ga 4.510 2.255 2.439
Ga 2.255 4.510 2.439
Na 0.000 0.000 0.000